Record 1
# La2FeHgGe, relaxed, DFT GGA-PBE
# Formation energy   -0.37 eV per atom
data_La2FeHgGe
_chemical_formula_sum 'La2 Fe1 Hg1 Ge1'
_space_group_name_H-M_alt 'P 4/m m m'
_space_group_IT_number 123
_space_group_name_Hall '-P 4 2'
_cell_length_a 5.322
_cell_length_b 5.322
_cell_length_c 4.564
_cell_angle_alpha 90.00
_cell_angle_beta 90.00
_cell_angle_gamma 90.00
loop_
_atom_site_label
_atom_site_type_symbol
_atom_site_fract_x
_atom_site_fract_y
_atom_site_fract_z
La1 La 0.000 0.500 0.000
Fe1 Fe 0.000 0.000 0.000
Hg1 Hg 0.500 0.500 0.500
Ge1 Ge 0.000 0.000 0.500

***

Record 2
# NaFeHgGe2, relaxed, DFT GGA-PBE
# Formation energy   0.03 eV per atom
data_NaFeHgGe2
_chemical_formula_sum 'Na1 Fe1 Hg1 Ge2'
_space_group_name_H-M_alt 'P 4/m m m'
_space_group_IT_number 123
_space_group_name_Hall '-P 4 2'
_cell_length_a 4.547
_cell_length_b 4.547
_cell_length_c 5.191
_cell_angle_alpha 90.00
_cell_angle_beta 90.00
_cell_angle_gamma 90.00
loop_
_atom_site_label
_atom_site_type_symbol
_atom_site_fract_x
_atom_site_fract_y
_atom_site_fract_z
Na1 Na 0.000 0.000 0.000
Fe1 Fe 0.500 0.500 0.500
Hg1 Hg 0.500 0.500 0.000
Ge1 Ge 0.000 0.500 0.500

***

Record 3
# FeNi2HgGe, relaxed, DFT GGA-PBE
# Formation energy   0.58 eV per atom
data_FeNi2HgGe
_chemical_formula_sum 'Fe1 Ni2 Hg1 Ge1'
_space_group_name_H-M_alt 'P 4/m m m'
_space_group_IT_number 123
_space_group_name_Hall '-P 4 2'
_cell_length_a 4.363
_cell_length_b 4.363
_cell_length_c 4.454
_cell_angle_alpha 90.00
_cell_angle_beta 90.00
_cell_angle_gamma 90.00
loop_
_atom_site_label
_atom_site_type_symbol
_atom_site_fract_x
_atom_site_fract_y
_atom_site_fract_z
Fe1 Fe 0.000 0.000 0.000
Ni1 Ni 0.000 0.500 0.500
Hg1 Hg 0.500 0.500 0.000
Ge1 Ge 0.000 0.000 0.500

***

Record 4
# FeHgGeS2, relaxed, DFT GGA-PBE
# Formation energy without anion corrections   1.2650 eV/atom
data_FeHgGeS2
_chemical_formula_sum 'Fe1 Hg1 Ge1 S2'
_space_group_name_H-M_alt 'P 4/m m m'
_space_group_IT_number 123
_space_group_name_Hall '-P 4 2'
_cell_length_a 5.036
_cell_length_b 5.036
_cell_length_c 5.076
_cell_angle_alpha 90.00
_cell_angle_beta 90.00
_cell_angle_gamma 90.00
loop_
_atom_site_label
_atom_site_type_symbol
_atom_site_fract_x
_atom_site_fract_y
_atom_site_fract_z
Fe1 Fe 0.000 0.000 0.000
Hg1 Hg 0.500 0.500 0.500
Ge1 Ge 0.500 0.500 0.000
S1 S 0.000 0.500 0.500

***

Record 5
# Sr2FeHgGe, relaxed, DFT GGA-PBE
# Formation energy   0.52 eV per atom
data_Sr2FeHgGe
_chemical_formula_sum 'Sr2 Fe1 Hg1 Ge1'
_space_group_name_H-M_alt 'P 4/m m m'
_space_group_IT_number 123
_space_group_name_Hall '-P 4 2'
_cell_length_a 5.137
_cell_length_b 5.137
_cell_length_c 5.033
_cell_angle_alpha 90.00
_cell_angle_beta 90.00
_cell_angle_gamma 90.00
loop_
_atom_site_label
_atom_site_type_symbol
_atom_site_fract_x
_atom_site_fract_y
_atom_site_fract_z
Sr1 Sr 0.000 0.500 0.000
Fe1 Fe 0.000 0.000 0.000
Hg1 Hg 0.000 0.000 0.500
Ge1 Ge 0.500 0.500 0.500

***

Record 6
# TiFe2HgGe, relaxed, DFT GGA-PBE
# Formation energy   0.63 eV per atom
data_TiFe2HgGe
_chemical_formula_sum 'Ti1 Fe2 Hg1 Ge1'
_space_group_name_H-M_alt 'P 4/m m m'
_space_group_IT_number 123
_space_group_name_Hall '-P 4 2'
_cell_length_a 4.371
_cell_length_b 4.371
_cell_length_c 4.811
_cell_angle_alpha 90.00
_cell_angle_beta 90.00
_cell_angle_gamma 90.00
loop_
_atom_site_label
_atom_site_type_symbol
_atom_site_fract_x
_atom_site_fract_y
_atom_site_fract_z
Ti1 Ti 0.000 0.000 0.000
Fe1 Fe 0.000 0.500 0.500
Hg1 Hg 0.500 0.500 0.000
Ge1 Ge 0.000 0.000 0.500

***

Record 7
# TiFe2HgGe, relaxed, DFT GGA-PBE
# Formation energy   1.39 eV per atom
data_TiFe2HgGe
_chemical_formula_sum 'Ti1 Fe2 Hg1 Ge1'
_space_group_name_H-M_alt 'P 4/m m m'
_space_group_IT_number 123
_space_group_name_Hall '-P 4 2'
_cell_length_a 4.765
_cell_length_b 4.765
_cell_length_c 5.055
_cell_angle_alpha 90.00
_cell_angle_beta 90.00
_cell_angle_gamma 90.00
loop_
_atom_site_label
_atom_site_type_symbol
_atom_site_fract_x
_atom_site_fract_y
_atom_site_fract_z
Ti1 Ti 0.000 0.000 0.000
Fe1 Fe 0.000 0.500 0.500
Hg1 Hg 0.000 0.000 0.500
Ge1 Ge 0.500 0.500 0.000

***

Record 8
# ZnFeHg2Ge, relaxed, DFT GGA-PBE
# Formation energy   0.66 eV per atom
data_ZnFeHg2Ge
_chemical_formula_sum 'Zn1 Fe1 Hg2 Ge1'
_space_group_name_H-M_alt 'P 4/m m m'
_space_group_IT_number 123
_space_group_name_Hall '-P 4 2'
_cell_length_a 5.013
_cell_length_b 5.013
_cell_length_c 4.683
_cell_angle_alpha 90.00
_cell_angle_beta 90.00
_cell_angle_gamma 90.00
loop_
_atom_site_label
_atom_site_type_symbol
_atom_site_fract_x
_atom_site_fract_y
_atom_site_fract_z
Zn1 Zn 0.000 0.000 0.000
Fe1 Fe 0.000 0.000 0.500
Hg1 Hg 0.000 0.500 0.500
Ge1 Ge 0.500 0.500 0.000

***

Looking at total magnetic moment for the records above, in order, we have 0.00 1.03 2.24 3.55 0.00 5.28 6.76 2.20 μB/cell.